Record 1
# meta-GGA SCAN FeMo2, PBEsol geometry
# * energy of formation: 0.19 eV per atom
# * calculated density: 10.04 Mg/m³
# * total magnetization: 0.000 μB per atom
data_FeMo2
_space_group_name_H-M_alt 'I 4/m c m'
_space_group_IT_number 140
_space_group_name_Hall '-I 4 2c'
_cell_length_a 5.846
_cell_length_b 5.846
_cell_length_c 4.796
_cell_angle_alpha 90.00
_cell_angle_beta 90.00
_cell_angle_gamma 90.00
loop_
_atom_site_label
_atom_site_type_symbol
_atom_site_fract_x
_atom_site_fract_y
_atom_site_fract_z
Fe1 Fe 0.000 0.000 0.250
Mo1 Mo 0.158 0.342 0.000


Record 2
# meta-GGA SCAN CaTlCd2, PBEsol geometry
# * energy of formation: -0.26 eV per atom
# * energy above the most stable polymorph in this dataset: 0.136 eV/f.u.
# * calculated density: 7.95 Mg/m³
# * total magnetization: 0.000 μB per atom
data_CaTlCd2
_space_group_name_H-M_alt 'I 4/m m m'
_space_group_IT_number 139
_space_group_name_Hall '-I 4 2'
_cell_length_a 4.639
_cell_length_b 4.639
_cell_length_c 9.113
_cell_angle_alpha 90.00
_cell_angle_beta 90.00
_cell_angle_gamma 90.00
loop_
_atom_site_label
_atom_site_type_symbol
_atom_site_fract_x
_atom_site_fract_y
_atom_site_fract_z
Ca1 Ca 0.000 0.000 0.000
Tl1 Tl 0.000 0.000 0.500
Cd1 Cd 0.000 0.500 0.250


Computed D(E_F) (states/eV/atom) in order:
0.8638, 0.5066